DFT (PBE-GGA) results for a relaxed structure of LiTl4Sb.

Cell lengths 6.4262, 6.4262, 6.4262 Å; angles 60.00, 60.00, 60.00 degrees
With the nearest neighbours (Å) after each atom.
Sites, in units of the cell vectors:
Sb1 0.0000 0.0000 0.0000  12 Tl 3.77, 4 Li 3.94
Tl1 0.3746 0.8762 0.3746  6 Tl 3.20-3.22
Tl2 0.3746 0.3746 0.8762  6 Tl 3.20-3.22
Li1 0.7500 0.7500 0.7500  12 Tl 3.77, 4 Sb 3.94
Tl3 0.8762 0.3746 0.3746  6 Tl 3.20-3.22
Tl4 0.3746 0.3746 0.3746  6 Tl 3.20-3.22

Output
The calculation puts the density of states at the Fermi level at 3.72 states/eV/f.u. The total magnetic moment comes out at 0.000 μB/atom. The uncorrected formation energy comes out at 0.116 eV per atom. The volume comes out at 188 Å³ per cell. The total energy comes out at -2.47 eV per atom.


DFT (PBE-GGA) results for a relaxed structure of LiTl2Sb.

Cell lengths 3.8402, 4.2060, 6.6939 Å; angles 90.00, 90.00, 90.00 degrees
With the nearest neighbours (Å) after each atom.
Sites, in units of the cell vectors:
Tl1 0.0000 0.0000 0.4978  4 Li 3.30, 4 Sb 3.31, 2 Tl 3.32-3.38
Sb1 0.5000 0.5000 0.7500  8 Tl 3.31, 2 Li 3.35
Li1 0.5000 0.5000 0.2500  8 Tl 3.30, 2 Sb 3.35
Tl2 0.0000 0.0000 0.0022  4 Li 3.30, 4 Sb 3.31, 2 Tl 3.32-3.38

Output
The calculation puts the density of states at the Fermi level at 1.46 states/eV/f.u. The total magnetic moment comes out at 0.000 μB/atom. The uncorrected formation energy comes out at -0.074 eV per atom. The volume comes out at 108 Å³ per cell. The total energy comes out at -2.77 eV per atom. Its energy relative to the lowest polymorph listed for this composition is 0.1168 eV per atom.


DFT (PBE-GGA) results for a relaxed structure of LiTl2Sb.

Cell lengths 4.7412, 4.7565, 4.7550 Å; angles 90.00, 90.00, 90.00 degrees
With the nearest neighbours (Å) after each atom.
Sites, in units of the cell vectors:
Tl1 0.5000 0.5000 0.0000  4 Sb 3.36, 4 Tl 3.36, 4 Li 3.36
Li1 0.5000 0.0000 0.5000  8 Tl 3.36, 4 Sb 3.36
Tl2 0.0000 0.0000 0.0000  4 Li 3.36, 4 Tl 3.36, 4 Sb 3.36
Sb1 0.0000 0.5000 0.5000  8 Tl 3.36, 4 Li 3.36

Output
The calculation puts the density of states at the Fermi level at 1.80 states/eV/f.u. The total magnetic moment comes out at 0.000 μB/atom. The uncorrected formation energy comes out at -0.110 eV per atom. The volume comes out at 107 Å³ per cell. The total energy comes out at -2.80 eV per atom. Its energy relative to the lowest polymorph listed for this composition is 0.0808 eV per atom.


DFT (PBE-GGA) results for a relaxed structure of LiTlSb.

Cell lengths 3.4933, 3.4933, 7.0584 Å; angles 90.00, 90.00, 120.00 degrees
With the nearest neighbours (Å) after each atom.
Sites, in units of the cell vectors:
Sb1 0.3333 0.6667 0.3082  3 Li 2.93
Tl1 0.6667 0.3333 0.6846  3 Li 3.04, 3 Sb 3.34
Li1 0.0000 0.0000 0.0072  3 Sb 2.93, 3 Tl 3.04

Output
The calculation puts the density of states at the Fermi level at 1.09 states/eV/f.u. The total magnetic moment comes out at 0.000 μB/atom. The uncorrected formation energy comes out at -0.115 eV per atom. The volume comes out at 75 Å³ per cell. The total energy comes out at -2.92 eV per atom. Its energy relative to the lowest polymorph listed for this composition is 0.1394 eV per atom.